No. 1
Compound: CoRu
Source: the Alexandria database
Functional: GGA-PBE
Structure: relaxed Values from VASP.

Cell and atoms, written as Quantum ESPRESSO input:
```
&SYSTEM
  ibrav = 0, nat = 12, ntyp = 2
/
ATOMIC_SPECIES
Co 58.93 Co.upf
Ru 101.07 Ru.upf
CELL_PARAMETERS angstrom
-3.1900 3.8786 -3.9034
-2.4822 -5.0410 -2.9805
-4.9111 0.0285 4.0419
ATOMIC_POSITIONS crystal
Co 0.2500 0.0000 0.5000
Co 0.7500 0.0000 0.5000
Co 0.0000 0.5000 0.2500
Co 0.0000 0.5000 0.7500
Co 0.5000 0.2500 0.0000
Co 0.5000 0.7500 0.0000
Ru 0.2500 0.5000 0.0000
Ru 0.7500 0.5000 0.0000
Ru 0.5000 0.0000 0.2500
Ru 0.5000 0.0000 0.7500
Ru 0.0000 0.2500 0.5000
Ru 0.0000 0.7500 0.5000
```

Values from the calculation:
- DFT formation energy (eV per atom) = 1.52

***

No. 2
Compound: Er5Tl2Ag2
Source: the Alexandria database
Functional: GGA-PBE
Structure: relaxed Values from VASP.

Cell and atoms, written as Quantum ESPRESSO input:
```
&SYSTEM
  ibrav = 0, nat = 18, ntyp = 3
/
ATOMIC_SPECIES
Er 167.26 Er.upf
Tl 204.38 Tl.upf
Ag 107.87 Ag.upf
CELL_PARAMETERS angstrom
-0.0317 2.6031 -6.7838
1.8509 -7.8707 -3.0288
-8.5161 2.3681 0.9485
ATOMIC_POSITIONS crystal
Er 0.0000 0.0000 0.0000
Er 0.5000 0.5000 0.0000
Er 0.8442 0.8158 0.2634
Er 0.1558 0.4476 0.2634
Er 0.3442 0.9476 0.2634
Er 0.6558 0.3158 0.2634
Er 0.1558 0.1842 0.7366
Er 0.8442 0.5524 0.7366
Er 0.6558 0.0524 0.7366
Er 0.3442 0.6842 0.7366
Tl 0.0000 0.2098 0.4197
Tl 0.5000 0.7098 0.4197
Tl 0.0000 0.7902 0.5803
Tl 0.5000 0.2902 0.5803
Ag 0.6283 0.8734 0.0000
Ag 0.3717 0.1266 0.0000
Ag 0.1283 0.6266 0.0000
Ag 0.8717 0.3734 0.0000
```

Values from the calculation:
- DFT formation energy (eV per atom) = -0.24

***

No. 3
Compound: LiTl2SnCl6
Source: the Alexandria database
Functional: GGA-PBE
Structure: relaxed Values from VASP.

Cell and atoms, written as Quantum ESPRESSO input:
```
&SYSTEM
  ibrav = 0, nat = 20, ntyp = 4
/
ATOMIC_SPECIES
Li 6.94 Li.upf
Tl 204.38 Tl.upf
Sn 118.71 Sn.upf
Cl 35.45 Cl.upf
CELL_PARAMETERS angstrom
-6.7326 -2.0391 -2.3728
-0.6667 -5.2198 -5.2370
-2.9222 -11.4121 6.4843
ATOMIC_POSITIONS crystal
Li 0.5862 0.5862 0.2415
Li 0.4138 0.4138 0.7585
Tl 0.8921 0.8921 0.3236
Tl 0.1079 0.1079 0.6764
Tl 0.6862 0.6862 0.9413
Tl 0.3138 0.3138 0.0587
Sn 0.0000 0.0000 0.0000
Sn 0.5000 0.5000 0.5000
Cl 0.8471 0.3843 0.3843
Cl 0.3843 0.8471 0.3843
Cl 0.3843 0.3843 0.3843
Cl 0.1529 0.6157 0.6157
Cl 0.6157 0.1529 0.6157
Cl 0.6157 0.6157 0.6157
Cl 0.6980 0.2177 0.8665
Cl 0.2177 0.6980 0.8665
Cl 0.2177 0.2177 0.8665
Cl 0.3020 0.7823 0.1335
Cl 0.7823 0.3020 0.1335
Cl 0.7823 0.7823 0.1335
```

Values from the calculation:
- ΔE_f (raw) (eV per atom) = -1.149